A relaxed Be2TlRe crystal, computed with PBEsol.

a = 3.093 Å, b = 3.093 Å, c = 5.721 Å
α = 90.00°, β = 90.00°, γ = 90.00°
Fractional coordinates of all 4 atoms:
1 Re 0.500 0.500 0.500
2 Tl 0.500 0.500 0.000
3 Be 0.000 0.000 0.323
4 Be 0.000 0.000 0.677

DFT formation energy: 31.0 kJ/mol of atoms
crystal system: tetragonal